1.
Mg6Pd2Rh: relaxed, GGA-PBE.

Calculated values
Space-group type: No. 164
Density: 4.86 g cm⁻³
Polymorph energy (0 for the lowest one): 0 meV/atom
D(E_F): 3.7 states/eV/f.u.
Spin magnetization: 0.00 μB per formula unit

POSCAR file:
```
Mg6Pd2Rh
1.0
4.5900 0.0000 0.0000
-2.2950 3.9742 0.0049
0.0000 -0.0127 8.6477
Pd Mg Rh
2 6 1
Direct
0.3334 0.6667 0.7412 Pd
0.6666 0.3333 0.2588 Pd
0.6667 0.3333 0.5863 Mg
0.3333 0.6667 0.4137 Mg
0.6667 0.3333 0.9369 Mg
0.0000 0.0000 0.7973 Mg
0.0000 0.0000 0.2027 Mg
0.3333 0.6667 0.0631 Mg
0.0000 0.0000 0.5000 Rh
```


2.
MgPd2Rh2: relaxed, GGA-PBE.

Calculated values
Space-group type: No. 127
Density: 9.01 g cm⁻³
Polymorph energy (0 for the lowest one): 0 meV/atom
D(E_F): 7.8 states/eV/f.u.
Spin magnetization: 0.00 μB per formula unit

POSCAR file:
```
MgPd2Rh2
1.0
7.4895 0.0000 0.0000
0.0000 7.4895 0.0000
0.0000 0.0000 2.9108
Mg Pd Rh
2 4 4
Direct
0.5000 0.5000 0.0000 Mg
0.0000 0.0000 0.0000 Mg
0.3220 0.1780 0.5000 Pd
0.1780 0.6780 0.5000 Pd
0.6780 0.8220 0.5000 Pd
0.8220 0.3220 0.5000 Pd
0.8789 0.6211 0.0000 Rh
0.3789 0.8789 0.0000 Rh
0.1211 0.3789 0.0000 Rh
0.6211 0.1211 0.0000 Rh
```


3.
Mg2PdRh: relaxed, GGA-PBE.

Calculated values
Space-group type: No. 122
Density: 5.98 g cm⁻³
D(E_F): 3.3 states/eV/f.u.
Spin magnetization: 0.00 μB per formula unit
VASP energy: -3.959 eV per atom

POSCAR file:
```
Mg2PdRh
1.0
4.0483 0.0000 0.0000
0.0000 4.0483 0.0000
2.0242 2.0242 8.7450
Mg Pd Rh
4 2 2
Direct
0.1281 0.6250 0.2500 Mg
0.3750 0.3781 0.7500 Mg
0.6219 0.1250 0.2500 Mg
0.8750 0.8719 0.7500 Mg
0.0000 0.0000 0.0000 Pd
0.7500 0.2500 0.5000 Pd
0.5000 0.5000 0.0000 Rh
0.2500 0.7500 0.5000 Rh
```


4.
Mg2Pd8Rh: relaxed, GGA-PBE.

Calculated values
Space-group type: No. 71
Density: 9.55 g cm⁻³
D(E_F): 14.8 states/eV/f.u.
Spin magnetization: 1.83 μB per formula unit
VASP energy: -4.948 eV per atom

POSCAR file:
```
Mg2Pd8Rh
1.0
0.8273 -4.1120 0.0977
5.4843 1.1950 3.8566
-6.5689 0.8913 3.0521
Pd Mg Rh
8 2 1
Direct
0.3478 0.1295 0.6956 Pd
0.8474 0.8474 0.6947 Pd
0.6522 0.4338 0.3044 Pd
0.6522 0.8705 0.3044 Pd
0.0000 0.7031 0.0000 Pd
0.0000 0.2969 0.0000 Pd
0.1526 0.1526 0.3053 Pd
0.3478 0.5662 0.6956 Pd
0.8038 0.3038 0.6077 Mg
0.1962 0.6962 0.3923 Mg
0.5000 0.0000 0.0000 Rh
```


5.
Mg8PdRh2: relaxed, GGA-PBE.

Calculated values
Space-group type: No. 12
Density: 4.25 g cm⁻³
D(E_F): 4.5 states/eV/f.u.
Spin magnetization: 0.00 μB per formula unit
VASP energy: -3.349 eV per atom

POSCAR file:
```
Mg8PdRh2
1.0
4.4854 0.0000 0.0000
0.0000 6.8579 -0.0474
-2.2427 -2.9643 6.4627
Mg Rh Pd
8 2 1
Direct
0.3815 0.5533 0.7630 Mg
0.3262 0.0847 0.6524 Mg
0.8420 0.7826 0.6841 Mg
0.9652 0.2680 0.9304 Mg
0.0348 0.7320 0.0696 Mg
0.6185 0.4467 0.2370 Mg
0.1580 0.2174 0.3159 Mg
0.6738 0.9153 0.3476 Mg
0.7922 0.3457 0.5844 Rh
0.2078 0.6543 0.4156 Rh
0.5000 0.0000 0.0000 Pd
```


6.
Mg5PdRh4: relaxed, GGA-PBE.

Calculated values
Space-group type: No. 123
Density: 6.92 g cm⁻³
D(E_F): 7.6 states/eV/f.u.
Spin magnetization: 0.00 μB per formula unit
VASP energy: -4.792 eV per atom

POSCAR file:
```
Mg5PdRh4
1.0
3.1363 0.0000 0.0000
0.0000 3.1363 0.0000
0.0000 0.0000 15.6040
Pd Rh Mg
1 4 5
Direct
0.0000 0.0000 0.0000 Pd
0.0000 0.0000 0.4010 Rh
0.0000 0.0000 0.7980 Rh
0.0000 0.0000 0.5990 Rh
0.0000 0.0000 0.2020 Rh
0.5000 0.5000 0.5000 Mg
0.5000 0.5000 0.3017 Mg
0.5000 0.5000 0.8946 Mg
0.5000 0.5000 0.6983 Mg
0.5000 0.5000 0.1054 Mg
```


7.
Mg6Pd5Rh: relaxed, GGA-PBE.

Calculated values
Space-group type: No. 10
Density: 6.81 g cm⁻³
D(E_F): 3.0 states/eV/f.u.
Spin magnetization: 0.00 μB per formula unit
VASP energy: -4.285 eV per atom

POSCAR file:
```
Mg6Pd5Rh
1.0
0.6950 3.1192 -3.0547
-0.3388 -4.5178 -4.6902
-6.8597 -0.5524 1.0276
Mg Pd Rh
6 5 1
Direct
0.5000 0.7547 0.0000 Mg
0.1653 0.2474 0.3305 Mg
0.8347 0.2474 0.6695 Mg
0.8347 0.7526 0.6695 Mg
0.5000 0.2453 0.0000 Mg
0.1653 0.7526 0.3305 Mg
0.3327 0.0000 0.6651 Pd
0.6678 0.5000 0.3355 Pd
0.0000 0.5000 0.0000 Pd
0.3322 0.5000 0.6645 Pd
0.6673 0.0000 0.3349 Pd
0.0000 0.0000 0.0000 Rh
```


8.
Mg6Pd2Rh: relaxed, GGA-PBE.

Calculated values
Space-group type: No. 12
Density: 4.14 g cm⁻³
Polymorph energy (0 for the lowest one): 91 meV/atom
D(E_F): 2.1 states/eV/f.u.
Spin magnetization: 0.00 μB per formula unit

POSCAR file:
```
Mg6Pd2Rh
1.0
4.4101 0.0000 -0.1556
0.0000 6.2900 0.0000
-1.9320 -3.1450 6.7464
Pd Mg Rh
2 6 1
Direct
0.6668 0.6668 0.3336 Pd
0.3332 0.3332 0.6664 Pd
0.5000 0.2435 0.0000 Mg
0.5000 0.7565 0.0000 Mg
0.8358 0.0814 0.6720 Mg
0.8358 0.5906 0.6720 Mg
0.1642 0.4094 0.3280 Mg
0.1642 0.9186 0.3280 Mg
0.0000 0.0000 0.0000 Rh
```


Copy entry 7 word for word.
Mg6Pd5Rh: relaxed, GGA-PBE.

Calculated values
Space-group type: No. 10
Density: 6.81 g cm⁻³
D(E_F): 3.0 states/eV/f.u.
Spin magnetization: 0.00 μB per formula unit
VASP energy: -4.285 eV per atom

POSCAR file:
```
Mg6Pd5Rh
1.0
0.6950 3.1192 -3.0547
-0.3388 -4.5178 -4.6902
-6.8597 -0.5524 1.0276
Mg Pd Rh
6 5 1
Direct
0.5000 0.7547 0.0000 Mg
0.1653 0.2474 0.3305 Mg
0.8347 0.2474 0.6695 Mg
0.8347 0.7526 0.6695 Mg
0.5000 0.2453 0.0000 Mg
0.1653 0.7526 0.3305 Mg
0.3327 0.0000 0.6651 Pd
0.6678 0.5000 0.3355 Pd
0.0000 0.5000 0.0000 Pd
0.3322 0.5000 0.6645 Pd
0.6673 0.0000 0.3349 Pd
0.0000 0.0000 0.0000 Rh
```